Entry 1:
12
Lattice="11.2076 0.0000 0.0000 -5.6038 9.7060 0.0000 0.0000 0.0000 3.5043" Properties=species:S:1:pos:R:3 comment="Pr2NdTm9 (PBE, optimized geometry)" sg="No. 191" pbc="T T T"
Pr 0.0000 6.4707 0.0000
Pr 5.6038 3.2353 0.0000
Nd 0.0000 0.0000 0.0000
Tm -2.8019 4.8530 0.0000
Tm 0.0000 3.4082 1.7522
Tm -2.6522 8.0019 1.7522
Tm 2.9516 1.7041 1.7522
Tm 5.6038 0.0000 0.0000
Tm 2.8019 4.8530 0.0000
Tm 2.6522 8.0019 1.7522
Tm 8.2559 1.7041 1.7522
Tm 5.6038 6.2978 1.7522

Entry 2:
20
Lattice="5.5052 -9.6588 0.0000 5.5052 9.6588 0.0000 0.0000 0.0000 6.3696" Properties=species:S:1:pos:R:3 comment="PrNd6Tm3 (PBE, optimized geometry)" sg="No. 36" pbc="T T T"
Pr 5.5052 5.9343 3.1848
Pr 5.5052 -5.9343 0.0000
Nd 5.5052 8.9745 1.6845
Nd 2.9360 4.0379 4.8575
Nd 5.5052 4.2013 0.2778
Nd 3.6474 0.7736 6.0031
Nd 3.6474 -0.7736 2.8183
Nd 2.9360 -4.0379 1.6727
Nd 8.0744 4.0379 4.8575
Nd 7.3630 0.7736 6.0031
Nd 7.3630 -0.7736 2.8183
Nd 5.5052 -4.2013 3.4626
Nd 8.0744 -4.0379 1.6727
Nd 5.5052 -8.9745 4.8693
Tm 1.9104 2.2303 2.2767
Tm 1.9104 -2.2303 5.4615
Tm 5.5052 2.2382 3.0870
Tm 5.5052 -2.2382 6.2718
Tm 9.1001 2.2303 2.2767
Tm 9.1001 -2.2303 5.4615

Taking the records one at a time from the top gives calculated formation energy values of 6.88 13.91 kJ per mole of atoms.
Taking the records one at a time from the top gives relative energy among the computed polymorphs values of 41 17 meV/atom.